(1)
Below is a relaxed structure of IrW2Br, with properties calculated at the PBE-GGA level.

a = 3.8714 Å, b = 3.8714 Å, c = 8.8469 Å
α = 90.00°, β = 90.00°, γ = 90.00°
Closest atoms and distances in Å follow each position.
Element x y z (fractional)
Ir (0.0000, 0.0000, 0.0000)  4 Br 2.74, 8 W 2.94
Ir (0.5000, 0.5000, 0.5000)  4 Br 2.74, 8 W 2.94
W (0.0000, 0.5000, 0.2500)  4 W 2.74, 4 Br 2.94, 4 Ir 2.94
W (0.0000, 0.5000, 0.7500)  4 W 2.74, 4 Br 2.94, 4 Ir 2.94
W (0.5000, 0.0000, 0.2500)  4 W 2.74, 4 Br 2.94, 4 Ir 2.94
W (0.5000, 0.0000, 0.7500)  4 W 2.74, 4 Br 2.94, 4 Ir 2.94
Br (0.0000, 0.0000, 0.5000)  4 Ir 2.74, 8 W 2.94
Br (0.5000, 0.5000, 0.0000)  4 Ir 2.74, 8 W 2.94

Calculated values
* crystal system: tetragonal
* excess energy over the best structure of this formula in the dataset: 730.4 meV/atom
* energy relative to the elements, uncorrected: 28.15 kcal/mol of atoms
* Fermi-level density of states: 0.82 states/eV per atom
* total magnetic moment: 0.00 μB per cell
* DFT total energy: -7.89 eV per atom

(2)
Below is a relaxed structure of ThTl2Ag2S4, with properties calculated at the PBE-GGA level.

a = 7.8945 Å, b = 7.8945 Å, c = 7.7646 Å
α = 110.68°, β = 110.68°, γ = 30.95°
Closest atoms and distances in Å follow each position.
Element x y z (fractional)
Th (0.0000, 0.0000, 0.0000)  6 S 2.82-2.83
Tl (0.1403, 0.1403, 0.5723)  7 S 3.24-3.60, 1 Ag 3.53
Tl (0.8597, 0.8597, 0.4277)  7 S 3.24-3.60, 1 Ag 3.53
Ag (0.3202, 0.3202, 0.0169)  4 S 2.54-2.71
Ag (0.6798, 0.6798, 0.9831)  4 S 2.54-2.71
S (0.1973, 0.1973, 0.1960)  3 Ag 2.63-2.71, 1 Th 2.83
S (0.4921, 0.4921, 0.2350)  1 Ag 2.54, 2 Th 2.82
S (0.5079, 0.5079, 0.7650)  1 Ag 2.54, 2 Th 2.82
S (0.8027, 0.8027, 0.8040)  3 Ag 2.63-2.71, 1 Th 2.83

Calculated values
* crystal system: monoclinic
* energy relative to the elements, uncorrected: -19.01 kcal/mol of atoms
* total magnetic moment: 0.00 μB per cell
* DFT total energy: -4.64 eV per atom

(3)
Below is a relaxed structure of LaSm5Ho12, with properties calculated at the PBE-GGA level.

a = 10.6935 Å, b = 10.6935 Å, c = 6.1731 Å
α = 106.59°, β = 106.59°, γ = 60.01°
Closest atoms and distances in Å follow each position.
Element x y z (fractional)
La (0.0000, 0.0000, 0.0000)  10 Ho 3.57-3.59, 2 Sm 3.59
Sm (0.1673, 0.1673, 0.5015)  10 Ho 3.56-3.58, 1 Sm 3.56, 1 La 3.59
Sm (0.3330, 0.3330, 0.0004)  10 Ho 3.54-3.57, 2 Sm 3.56-3.58
Sm (0.5000, 0.5000, 0.5000)  10 Ho 3.54-3.57, 2 Sm 3.58
Sm (0.6670, 0.6670, 0.9996)  10 Ho 3.54-3.57, 2 Sm 3.56-3.58
Sm (0.8327, 0.8327, 0.4985)  10 Ho 3.56-3.58, 1 Sm 3.56, 1 La 3.59
Ho (0.0010, 0.6639, 0.9990)  7 Ho 3.52-3.61, 4 Sm 3.54-3.58, 1 La 3.59
Ho (0.1659, 0.5008, 0.5008)  7 Ho 3.54-3.58, 5 Sm 3.56-3.57
Ho (0.1690, 0.8310, 0.5000)  3 Sm 3.54-3.58, 7 Ho 3.55-3.62, 2 La 3.58
Ho (0.3337, 0.6663, 0.0000)  7 Ho 3.55-3.57, 4 Sm 3.56-3.57, 1 La 3.57
Ho (0.3361, 0.9990, 0.0010)  7 Ho 3.52-3.61, 4 Sm 3.54-3.58, 1 La 3.59
Ho (0.4992, 0.8341, 0.4992)  7 Ho 3.54-3.58, 5 Sm 3.56-3.57
Ho (0.5008, 0.1659, 0.5008)  7 Ho 3.54-3.58, 5 Sm 3.56-3.57
Ho (0.6639, 0.0010, 0.9990)  7 Ho 3.52-3.61, 4 Sm 3.54-3.58, 1 La 3.59
Ho (0.6663, 0.3337, 0.0000)  7 Ho 3.55-3.57, 4 Sm 3.56-3.57, 1 La 3.57
Ho (0.8310, 0.1690, 0.5000)  3 Sm 3.54-3.58, 7 Ho 3.55-3.62, 2 La 3.58
Ho (0.8341, 0.4992, 0.4992)  7 Ho 3.54-3.58, 5 Sm 3.56-3.57
Ho (0.9990, 0.3361, 0.0010)  7 Ho 3.52-3.61, 4 Sm 3.54-3.58, 1 La 3.59

Calculated values
* crystal system: monoclinic
* energy of formation: 0.0207 eV per atom
* Fermi-level density of states: 1.28 states/eV per atom
* total magnetic moment: 0.00 μB per cell
* DFT total energy: -4.62 eV per atom

(4)
Below is a relaxed structure of YSc3Ru2, with properties calculated at the PBE-GGA level.

a = 3.2580 Å, b = 3.2580 Å, c = 11.5542 Å
α = 90.00°, β = 90.00°, γ = 90.00°
Closest atoms and distances in Å follow each position.
Element x y z (fractional)
Y (0.0000, 0.0000, 0.0000)  4 Y 3.26, 8 Sc 3.53
Sc (0.5000, 0.5000, 0.2316)  4 Ru 2.72
Sc (0.5000, 0.5000, 0.5000)  8 Ru 2.83, 2 Sc 3.10
Sc (0.5000, 0.5000, 0.7684)  4 Ru 2.72
Ru (0.0000, 0.0000, 0.3571)  8 Sc 2.72-2.83
Ru (0.0000, 0.0000, 0.6429)  8 Sc 2.72-2.83

Calculated values
* crystal system: tetragonal
* energy of formation: -0.4185 eV per atom
* Fermi-level density of states: 0.77 states/eV per atom
* total magnetic moment: 0.00 μB per cell
* DFT total energy: -7.75 eV per atom

(5)
Below is a relaxed structure of AcErPu2S4, with properties calculated at the PBE-GGA level.

a = 6.9820 Å, b = 4.0144 Å, c = 7.0157 Å
α = 90.00°, β = 109.14°, γ = 90.00°
Closest atoms and distances in Å follow each position.
Element x y z (fractional)
Ac (0.0000, 0.0000, 0.0000)  6 S 2.95
Er (0.0000, 0.5000, 0.5000)  6 S 2.81
Pu (0.5000, 0.0000, 0.5000)  6 S 2.76
Pu (0.5000, 0.5000, 0.0000)  6 S 2.90
S (0.2512, 0.0000, 0.7348)  3 Pu 2.76-2.90, 2 Er 2.81, 1 Ac 2.95
S (0.2635, 0.5000, 0.2708)  3 Pu 2.76-2.90, 1 Er 2.81, 2 Ac 2.95
S (0.7365, 0.5000, 0.7292)  3 Pu 2.76-2.90, 1 Er 2.81, 2 Ac 2.95
S (0.7488, 0.0000, 0.2652)  3 Pu 2.76-2.90, 2 Er 2.81, 1 Ac 2.95

Calculated values
* crystal system: monoclinic
* energy relative to the elements, uncorrected: -42.47 kcal/mol of atoms
* Fermi-level density of states: 1.94 states/eV per atom
* total magnetic moment: 11.52 μB per cell
* DFT total energy: -8.57 eV per atom

(6)
Below is a relaxed structure of NaCaCd2, with properties calculated at the PBE-GGA level.

a = 3.7033 Å, b = 3.7033 Å, c = 30.1454 Å
α = 90.00°, β = 90.00°, γ = 120.00°
Closest atoms and distances in Å follow each position.
Element x y z (fractional)
Na (0.0000, 0.0000, 0.0000)  6 Cd 3.30-3.31
Na (0.3333, 0.6667, 0.6667)  6 Cd 3.30-3.31
Na (0.6667, 0.3333, 0.3333)  6 Cd 3.30-3.31
Ca (0.0000, 0.0000, 0.1669)  6 Cd 3.29
Ca (0.3333, 0.6667, 0.8336)  6 Cd 3.29
Ca (0.6667, 0.3333, 0.5002)  6 Cd 3.29
Cd (0.0000, 0.0000, 0.5832)  3 Ca 3.29, 3 Na 3.30
Cd (0.0000, 0.0000, 0.7505)  3 Ca 3.29, 3 Na 3.31
Cd (0.3333, 0.6667, 0.2498)  3 Ca 3.29, 3 Na 3.30
Cd (0.3333, 0.6667, 0.4171)  3 Ca 3.29, 3 Na 3.31
Cd (0.6667, 0.3333, 0.0838)  3 Ca 3.29, 3 Na 3.31
Cd (0.6667, 0.3333, 0.9165)  3 Ca 3.29, 3 Na 3.30

Calculated values
* crystal system: trigonal
* excess energy over the best structure of this formula in the dataset: 125.1 meV/atom
* energy of formation: -0.0672 eV per atom
* Fermi-level density of states: 0.70 states/eV per atom
* total magnetic moment: 0.00 μB per cell
* DFT total energy: -1.35 eV per atom

What did the sixth record say?
Below is a relaxed structure of NaCaCd2, with properties calculated at the PBE-GGA level.

a = 3.7033 Å, b = 3.7033 Å, c = 30.1454 Å
α = 90.00°, β = 90.00°, γ = 120.00°
Closest atoms and distances in Å follow each position.
Element x y z (fractional)
Na (0.0000, 0.0000, 0.0000)  6 Cd 3.30-3.31
Na (0.3333, 0.6667, 0.6667)  6 Cd 3.30-3.31
Na (0.6667, 0.3333, 0.3333)  6 Cd 3.30-3.31
Ca (0.0000, 0.0000, 0.1669)  6 Cd 3.29
Ca (0.3333, 0.6667, 0.8336)  6 Cd 3.29
Ca (0.6667, 0.3333, 0.5002)  6 Cd 3.29
Cd (0.0000, 0.0000, 0.5832)  3 Ca 3.29, 3 Na 3.30
Cd (0.0000, 0.0000, 0.7505)  3 Ca 3.29, 3 Na 3.31
Cd (0.3333, 0.6667, 0.2498)  3 Ca 3.29, 3 Na 3.30
Cd (0.3333, 0.6667, 0.4171)  3 Ca 3.29, 3 Na 3.31
Cd (0.6667, 0.3333, 0.0838)  3 Ca 3.29, 3 Na 3.31
Cd (0.6667, 0.3333, 0.9165)  3 Ca 3.29, 3 Na 3.30

Calculated values
* crystal system: trigonal
* excess energy over the best structure of this formula in the dataset: 125.1 meV/atom
* energy of formation: -0.0672 eV per atom
* Fermi-level density of states: 0.70 states/eV per atom
* total magnetic moment: 0.00 μB per cell
* DFT total energy: -1.35 eV per atom

Q: What is the total magnetic moment in the first record?
A: 0.00 μB per cell

Copy entry 6 word for word.
Below is a relaxed structure of NaCaCd2, with properties calculated at the PBE-GGA level.

a = 3.7033 Å, b = 3.7033 Å, c = 30.1454 Å
α = 90.00°, β = 90.00°, γ = 120.00°
Closest atoms and distances in Å follow each position.
Element x y z (fractional)
Na (0.0000, 0.0000, 0.0000)  6 Cd 3.30-3.31
Na (0.3333, 0.6667, 0.6667)  6 Cd 3.30-3.31
Na (0.6667, 0.3333, 0.3333)  6 Cd 3.30-3.31
Ca (0.0000, 0.0000, 0.1669)  6 Cd 3.29
Ca (0.3333, 0.6667, 0.8336)  6 Cd 3.29
Ca (0.6667, 0.3333, 0.5002)  6 Cd 3.29
Cd (0.0000, 0.0000, 0.5832)  3 Ca 3.29, 3 Na 3.30
Cd (0.0000, 0.0000, 0.7505)  3 Ca 3.29, 3 Na 3.31
Cd (0.3333, 0.6667, 0.2498)  3 Ca 3.29, 3 Na 3.30
Cd (0.3333, 0.6667, 0.4171)  3 Ca 3.29, 3 Na 3.31
Cd (0.6667, 0.3333, 0.0838)  3 Ca 3.29, 3 Na 3.31
Cd (0.6667, 0.3333, 0.9165)  3 Ca 3.29, 3 Na 3.30

Calculated values
* crystal system: trigonal
* excess energy over the best structure of this formula in the dataset: 125.1 meV/atom
* energy of formation: -0.0672 eV per atom
* Fermi-level density of states: 0.70 states/eV per atom
* total magnetic moment: 0.00 μB per cell
* DFT total energy: -1.35 eV per atom